No. 1
SrCaSe2 | PBE | optimized geometry

a = 4.3466 Å, b = 4.3466 Å, c = 6.1442 Å
α = 90.00°, β = 90.00°, γ = 90.00°
Space group P4/mmm (No. 123)
One atom of each set of equivalent atoms:
Sr (0.0000, 0.0000, 0.0000) (multiplicity 1)
Ca (0.5000, 0.5000, 0.5000) (multiplicity 1)
Se (0.0000, 0.0000, 0.5000) (multiplicity 1)
Se (0.5000, 0.5000, 0.0000) (multiplicity 1)

## Properties
Energy above the lowest structure with this stoichiometry: 1.5 kJ/mol of atoms
Formation energy from raw total energies: -2.03 eV/atom

No. 2
Sr2CaTbSe4 | PBE | optimized geometry

a = 7.4113 Å, b = 4.2677 Å, c = 7.4623 Å
α = 90.00°, β = 109.25°, γ = 90.00°
Space group P2/m (No. 10)
One atom of each set of equivalent atoms:
Sr (0.0000, 0.0000, 0.0000) (multiplicity 1)
Sr (0.5000, 0.5000, 0.0000) (multiplicity 1)
Ca (0.0000, 0.5000, 0.5000) (multiplicity 1)
Tb (0.5000, 0.0000, 0.5000) (multiplicity 1)
Se (0.2486, 0.0000, 0.7331) (multiplicity 2)
Se (0.2594, 0.5000, 0.2682) (multiplicity 2)

## Properties
Formation energy from raw total energies: -1.96 eV/atom

No. 3
SrCa2TeSe | PBE | optimized geometry

a = 5.6567 Å, b = 5.6567 Å, c = 7.0634 Å
α = 90.00°, β = 90.00°, γ = 90.00°
Space group P4/mmm (No. 123)
One atom of each set of equivalent atoms:
Sr (0.0000, 0.0000, 0.0000) (multiplicity 1)
Ca (0.0000, 0.5000, 0.5000) (multiplicity 2)
Te (0.5000, 0.5000, 0.5000) (multiplicity 1)
Se (0.5000, 0.5000, 0.0000) (multiplicity 1)

## Properties
Formation energy from raw total energies: -0.43 eV/atom

No. 4
SrCa2TlSe | PBE | optimized geometry

a = 5.5510 Å, b = 5.5510 Å, c = 5.9282 Å
α = 90.00°, β = 90.00°, γ = 90.00°
Space group P4/mmm (No. 123)
One atom of each set of equivalent atoms:
Sr (0.0000, 0.0000, 0.0000) (multiplicity 1)
Ca (0.0000, 0.5000, 0.5000) (multiplicity 2)
Tl (0.5000, 0.5000, 0.0000) (multiplicity 1)
Se (0.0000, 0.0000, 0.5000) (multiplicity 1)

## Properties
Formation energy from raw total energies: -0.79 eV/atom

No. 5
Sr2CaUSe6 | PBE | optimized geometry

a = 7.1905 Å, b = 7.8511 Å, c = 12.7056 Å
α = 90.00°, β = 123.86°, γ = 90.00°
Space group P2_1/c (No. 14)
One atom of each set of equivalent atoms:
Sr (0.2131, 0.0914, 0.2467) (multiplicity 4)
Ca (0.0000, 0.0000, 0.5000) (multiplicity 2)
U (0.5000, 0.0000, 0.0000) (multiplicity 2)
Se (0.1362, 0.1808, 0.9412) (multiplicity 4)
Se (0.2645, 0.7038, 0.9343) (multiplicity 4)
Se (0.3827, 0.0379, 0.7598) (multiplicity 4)

## Properties
Formation energy from raw total energies: -1.58 eV/atom

No. 6
Sr2CaYSe4 | PBE | optimized geometry

a = 7.4076 Å, b = 4.2651 Å, c = 7.4569 Å
α = 90.00°, β = 109.24°, γ = 90.00°
Space group P2/m (No. 10)
One atom of each set of equivalent atoms:
Sr (0.0000, 0.0000, 0.0000) (multiplicity 1)
Sr (0.5000, 0.5000, 0.0000) (multiplicity 1)
Ca (0.0000, 0.5000, 0.5000) (multiplicity 1)
Y (0.5000, 0.0000, 0.5000) (multiplicity 1)
Se (0.2488, 0.0000, 0.7329) (multiplicity 2)
Se (0.2597, 0.5000, 0.2686) (multiplicity 2)

## Properties
Formation energy from raw total energies: -1.96 eV/atom

No. 7
SrCaY4Se8 | PBE | optimized geometry

a = 8.5102 Å, b = 8.5102 Å, c = 21.3064 Å
α = 90.00°, β = 90.00°, γ = 120.00°
Space group R3m (No. 160, hexagonal axes)
One atom of each set of equivalent atoms:
Sr (0.0000, 0.0000, 0.0000) (multiplicity 3)
Ca (0.0000, 0.0000, 0.6255) (multiplicity 3)
Y (0.0000, 0.0000, 0.3777) (multiplicity 3)
Y (0.0072, 0.5036, 0.5024) (multiplicity 9)
Se (0.0000, 0.0000, 0.2443) (multiplicity 3)
Se (0.0000, 0.0000, 0.7609) (multiplicity 3)
Se (0.0113, 0.5057, 0.7592) (multiplicity 9)
Se (0.1755, 0.3509, 0.5747) (multiplicity 9)

## Properties
Formation energy from raw total energies: -1.85 eV/atom

No. 8
SrCa2ZnSe | PBE | optimized geometry

a = 5.4734 Å, b = 5.4734 Å, c = 6.6072 Å
α = 90.00°, β = 90.00°, γ = 90.00°
Space group P4/mmm (No. 123)
One atom of each set of equivalent atoms:
Sr (0.0000, 0.0000, 0.0000) (multiplicity 1)
Ca (0.0000, 0.5000, 0.5000) (multiplicity 2)
Zn (0.5000, 0.5000, 0.0000) (multiplicity 1)
Se (0.5000, 0.5000, 0.5000) (multiplicity 1)

## Properties
Formation energy from raw total energies: -0.42 eV/atom

No. 9
Ca3TaSe | PBE | optimized geometry

a = 5.5019 Å, b = 5.5019 Å, c = 5.5019 Å
α = 90.00°, β = 90.00°, γ = 90.00°
Space group Pm-3m (No. 221)
One atom of each set of equivalent atoms:
Ca (0.0000, 0.0000, 0.5000) (multiplicity 3)
Ta (0.5000, 0.5000, 0.5000) (multiplicity 1)
Se (0.0000, 0.0000, 0.0000) (multiplicity 1)

## Properties
Energy above the lowest structure with this stoichiometry: 0.0 kJ/mol of atoms
Formation energy from raw total energies: 0.18 eV/atom

No. 10
CaTaSe | PBE | optimized geometry

a = 3.3887 Å, b = 3.3887 Å, c = 11.5962 Å
α = 90.00°, β = 90.00°, γ = 90.00°
Space group I4mm (No. 107)
One atom of each set of equivalent atoms:
Ca (0.0000, 0.0000, 0.0000) (multiplicity 2)
Ta (0.0000, 0.0000, 0.7004) (multiplicity 2)
Se (0.0000, 0.0000, 0.3011) (multiplicity 2)

## Properties
Energy above the lowest structure with this stoichiometry: 23.1 kJ/mol of atoms
Formation energy from raw total energies: -0.30 eV/atom

No. 11
CaTa2Se2 | PBE | optimized geometry

a = 7.7093 Å, b = 7.7093 Å, c = 3.2991 Å
α = 90.00°, β = 90.00°, γ = 90.00°
Space group P4/mbm (No. 127)
One atom of each set of equivalent atoms:
Ca (0.0000, 0.0000, 0.0000) (multiplicity 2)
Ta (0.1287, 0.3713, 0.5000) (multiplicity 4)
Se (0.1511, 0.6511, 0.0000) (multiplicity 4)

## Properties
Energy above the lowest structure with this stoichiometry: 47.2 kJ/mol of atoms
Formation energy from raw total energies: -0.06 eV/atom

No. 12
CaTa4Se8 | PBE | optimized geometry

a = 7.0271 Å, b = 7.0271 Å, c = 22.2870 Å
α = 90.00°, β = 90.00°, γ = 120.00°
Space group R-3m (No. 166, hexagonal axes)
One atom of each set of equivalent atoms:
Ca (0.0000, 0.0000, 0.0000) (multiplicity 3)
Ta (0.0000, 0.0000, 0.5000) (multiplicity 3)
Ta (0.0000, 0.5000, 0.5000) (multiplicity 9)
Se (0.0000, 0.0000, 0.2410) (multiplicity 6)
Se (0.0052, 0.5026, 0.2416) (multiplicity 18)

## Properties
Formation energy from raw total energies: -0.90 eV/atom

What is the formation energy from raw total energies in the eleventh record? -0.06 eV/atom

Among the records above, which one has the highest formation energy from raw total energies? Ca3TaSe